Density functional theory data (PBE) for HgB after structural relaxation.

Its energy above the most stable polymorph in this dataset is 984 meV/atom. As for the crystal system: cubic. Its formation energy from the elements is 33.75 kcal/mol of atoms.

It has space group F-43m (No. 216), with a = 5.289 Å, b = 5.289 Å, c = 5.289 Å, α = 90.00°, β = 90.00° and γ = 90.00°. The inequivalent atoms are Hg at (0.000, 0.000, 0.000) and B at (0.250, 0.250, 0.250).